TaNi2TeN | PBE | relaxed

Cell: 3.889 4.670 3.889 Å, 90.00 90.00 90.00°
Fractional coordinates of all 5 atoms:
1 Ta 0.500 0.500 0.500
2 N 0.000 0.000 0.000
3 Ni 0.500 0.000 0.000
4 Ni 0.000 0.000 0.500
5 Te 0.000 0.500 0.000

Computed properties:
The formation energy without anion corrections comes out at 563 meV/atom. For the density of states at the Fermi level, the calculation gives 3.3 states/eV per cell. The calculation puts the total energy at -6.4136 eV per atom.